A plane-wave DFT calculation with PBE was carried out for a relaxed structure of LiVSi.

Cell: 2.649 3.816 8.237 Å, 90.00 90.44 90.00°
Atoms (fractional coordinates):
Li1 0.236 0.250 0.406
Li2 0.764 0.750 0.594
V1 0.176 0.250 0.084
V2 0.824 0.750 0.916
Si1 0.315 0.250 0.772
Si2 0.685 0.750 0.228

Computed properties:
Calculated volume ... 83 Å³ per cell
E_tot ... -34.242 eV for the cell shown